1.
## Ho3Sc7Ir4 (PBE)

Data for crystalline Ho3Sc7Ir4 at its relaxed geometry.

Cell and atoms, written as POSCAR:
```
Ho3Sc7Ir4
1.0
8.1501 -2.2208 0.0000
8.1501 2.2208 0.0000
-6.2934 0.0000 8.5354
Ho Sc Ir
3 7 4
Direct
0.0000 0.0000 0.0000 Ho
0.3052 0.3052 0.2976 Ho
0.6948 0.6948 0.7024 Ho
0.0000 0.0000 0.5000 Sc
0.1658 0.1658 0.4167 Sc
0.3082 0.3082 0.9719 Sc
0.4889 0.4889 0.7126 Sc
0.5111 0.5111 0.2874 Sc
0.6918 0.6918 0.0281 Sc
0.8342 0.8342 0.5833 Sc
0.1017 0.1017 0.8387 Ir
0.3196 0.3196 0.7199 Ir
0.6804 0.6804 0.2801 Ir
0.8983 0.8983 0.1613 Ir
```

Results
**Energy relative to the elements**: -14.14 kcal/mol of atoms
**Calculated total energy**: -7.29 eV per atom
**Density**: 8.48 g/cm3

2.
## HoSc2Ir3 (PBE)

Data for crystalline HoSc2Ir3 at its relaxed geometry.

Cell and atoms, written as POSCAR:
```
HoSc2Ir3
1.0
3.1778 0.0000 0.0000
0.0000 3.1778 0.0000
0.0000 0.0000 10.5518
Ho Sc Ir
1 2 3
Direct
0.0000 0.0000 0.0000 Ho
0.0000 0.0000 0.3393 Sc
0.0000 0.0000 0.6607 Sc
0.5000 0.5000 0.1828 Ir
0.5000 0.5000 0.5000 Ir
0.5000 0.5000 0.8172 Ir
```

Results
**Energy relative to the elements**: -21.67 kcal/mol of atoms
**Calculated total energy**: -8.24 eV per atom
**Density**: 12.96 g/cm3

3.
## HoScIr4 (PBE)

Data for crystalline HoScIr4 at its relaxed geometry.

Cell and atoms, written as POSCAR:
```
HoScIr4
1.0
0.0000 3.7438 3.7438
3.7438 0.0000 3.7438
3.7438 3.7438 0.0000
Ho Sc Ir
1 1 4
Direct
0.0000 0.0000 0.0000 Ho
0.7500 0.7500 0.7500 Sc
0.3752 0.3752 0.3752 Ir
0.3752 0.3752 0.8744 Ir
0.3752 0.8744 0.3752 Ir
0.8744 0.3752 0.3752 Ir
```

Results
**Energy relative to the elements**: -17.93 kcal/mol of atoms
**Calculated total energy**: -8.50 eV per atom
**Density**: 15.49 g/cm3

4.
## Ho2Sc3Ir2 (PBE)

Data for crystalline Ho2Sc3Ir2 at its relaxed geometry.

Cell and atoms, written as POSCAR:
```
Ho2Sc3Ir2
1.0
5.6365 -1.8894 0.0000
5.6365 1.8894 0.0000
-3.6830 0.0000 7.4822
Ho Sc Ir
2 3 2
Direct
0.1558 0.1558 0.3005 Ho
0.8442 0.8442 0.6995 Ho
0.3768 0.3768 0.0659 Sc
0.5000 0.5000 0.5000 Sc
0.6232 0.6232 0.9341 Sc
0.1659 0.1659 0.7314 Ir
0.8340 0.8340 0.2686 Ir
```

Results
**Energy relative to the elements**: -15.21 kcal/mol of atoms
**Calculated total energy**: -7.21 eV per atom
**Density**: 8.85 g/cm3

5.
## HoScSnIr (PBE)

Data for crystalline HoScSnIr at its relaxed geometry.

Cell and atoms, written as POSCAR:
```
HoScSnIr
1.0
0.0000 3.4903 3.4903
3.4903 0.0000 3.4903
3.4903 3.4903 0.0000
Ho Sc Sn Ir
1 1 1 1
Direct
0.0000 0.0000 0.0000 Ho
0.5000 0.5000 0.5000 Sc
0.2500 0.2500 0.2500 Sn
0.7500 0.7500 0.7500 Ir
```

Results
**Energy relative to the elements**: -14.30 kcal/mol of atoms
**Calculated total energy**: -6.56 eV per atom
**Density**: 10.17 g/cm3

6.
## TbHoScIr (PBE)

Data for crystalline TbHoScIr at its relaxed geometry.

Cell and atoms, written as POSCAR:
```
TbHoScIr
1.0
0.0000 3.5580 3.5580
3.5580 0.0000 3.5580
3.5580 3.5580 0.0000
Tb Ho Sc Ir
1 1 1 1
Direct
0.0000 0.0000 0.0000 Tb
0.5000 0.5000 0.5000 Ho
0.7500 0.7500 0.7500 Sc
0.2500 0.2500 0.2500 Ir
```

Results
**Energy relative to the elements**: -6.06 kcal/mol of atoms
**Calculated total energy**: -6.36 eV per atom
**Density**: 10.34 g/cm3